Record 1
Entry from the Alexandria database: HoScMo4 after structural relaxation (PBE-GGA).

a b c (Å): 5.4441 5.4441 5.4441
angles (deg): 60.00 60.00 60.00
Last column: nearest neighbours and their distance in Å.
Positions (direct):
Sc: 0.0000 0.0000 0.0000  12 Mo 3.19, 4 Ho 3.33
Mo: 0.6250 0.6250 0.1250  6 Mo 2.72
Mo: 0.6250 0.1250 0.6250  6 Mo 2.72
Mo: 0.6250 0.6250 0.6250  6 Mo 2.72
Mo: 0.1250 0.6250 0.6250  6 Mo 2.72
Ho: 0.2500 0.2500 0.2500  12 Mo 3.19, 4 Sc 3.33

Space-group type ... F-43m (216)
Formation energy ... 37 meV per atom
Crystal system ... cubic

=====

Record 2
Entry from the Alexandria database: HoScMo after structural relaxation (PBE-GGA).

a b c (Å): 4.5315 5.7471 6.0244
angles (deg): 96.53 112.09 90.00
Last column: nearest neighbours and their distance in Å.
Positions (direct):
Mo: 0.7590 0.1204 0.5180  3 Sc 2.64-2.92, 2 Mo 2.65
Mo: 0.2410 0.8796 0.4820  3 Sc 2.64-2.92, 2 Mo 2.65
Sc: 0.5779 0.7775 0.1558  3 Mo 2.64-2.92
Sc: 0.4221 0.2225 0.8442  3 Mo 2.64-2.92
Ho: 0.8662 0.6482 0.7324  4 Mo 3.05-3.12, 3 Sc 3.29-3.39
Ho: 0.1338 0.3518 0.2676  4 Mo 3.05-3.12, 3 Sc 3.29-3.39

Space-group type ... C2/m (12)
Formation energy ... 223 meV per atom
Crystal system ... monoclinic

=====

Record 3
Entry from the Alexandria database: HoScMo after structural relaxation (PBE-GGA).

a b c (Å): 3.4422 3.4422 6.2735
angles (deg): 105.92 105.92 90.00
Last column: nearest neighbours and their distance in Å.
Positions (direct):
Sc: 0.3011 0.3011 0.6021  4 Mo 2.83
Mo: 0.6757 0.6757 0.3515  4 Sc 2.83, 4 Ho 3.01
Ho: 0.0232 0.0232 0.0464  4 Mo 3.01, 1 Sc 3.21

Space-group type ... I4mm (107)
Formation energy ... 214 meV per atom
Crystal system ... tetragonal

=====

Record 4
Entry from the Alexandria database: HoSi2Mo after structural relaxation (PBE-GGA).

a b c (Å): 3.6103 3.6103 7.0225
angles (deg): 75.10 75.10 60.00
Last column: nearest neighbours and their distance in Å.
Positions (direct):
Mo: 0.0000 0.0000 0.0000  6 Si 2.53
Si: 0.7381 0.7381 0.7857  3 Mo 2.53, 3 Ho 2.83
Si: 0.2619 0.2619 0.2143  3 Mo 2.53, 3 Ho 2.83
Ho: 0.5000 0.5000 0.5000  6 Si 2.83

Formation energy (no corrections) ... -0.276 eV per atom
Space-group type ... R-3m (166)
Crystal system ... trigonal

=====

Record 5
Entry from the Alexandria database: HoSi2Mo4 after structural relaxation (PBE-GGA).

a b c (Å): 4.3606 4.4117 6.8727
angles (deg): 108.72 90.00 90.00
Last column: nearest neighbours and their distance in Å.
Positions (direct):
Ho: 0.0000 0.0000 0.0000  8 Mo 3.31-3.37, 8 Si 3.33
Si: 0.5000 0.5940 0.1879  1 Si 2.45, 4 Mo 2.55
Si: 0.5000 0.4060 0.8121  1 Si 2.45, 4 Mo 2.55
Mo: 0.5000 0.8084 0.6168  3 Si 2.55-2.79, 4 Mo 2.63-2.68
Mo: 0.0000 0.6953 0.3905  2 Si 2.55, 4 Mo 2.63
Mo: 0.5000 0.1916 0.3832  3 Si 2.55-2.79, 4 Mo 2.63-2.68
Mo: 0.0000 0.3047 0.6095  2 Si 2.55, 4 Mo 2.63

Formation energy (no corrections) ... -0.182 eV per atom
Space-group type ... Cmmm (65)
Crystal system ... orthorhombic

=====

Record 6
Entry from the Alexandria database: Ho2Si4Mo3 after structural relaxation (PBE-GGA).

a b c (Å): 6.9112 6.7395 6.8507
angles (deg): 71.09 90.00 90.00
Last column: nearest neighbours and their distance in Å.
Positions (direct):
Ho: 0.6700 0.4383 0.1906  7 Si 2.80-3.03
Ho: 0.1700 0.0617 0.8094  7 Si 2.80-3.03
Ho: 0.3300 0.5617 0.8094  7 Si 2.80-3.03
Ho: 0.8300 0.9383 0.1906  7 Si 2.80-3.03
Si: 0.4556 0.1327 0.0897  4 Mo 2.55-2.68, 1 Si 2.55, 1 Ho 2.80
Si: 0.9556 0.3673 0.9103  4 Mo 2.55-2.68, 1 Si 2.55, 1 Ho 2.80
Si: 0.5444 0.8673 0.9103  4 Mo 2.55-2.68, 1 Si 2.55, 1 Ho 2.80
Si: 0.0444 0.6327 0.0897  4 Mo 2.55-2.68, 1 Si 2.55, 1 Ho 2.80
Si: 0.8685 0.1283 0.5043  1 Si 2.52, 5 Mo 2.53-2.69, 1 Ho 2.82
Si: 0.3685 0.3717 0.4957  1 Si 2.52, 5 Mo 2.53-2.69, 1 Ho 2.82
Si: 0.1315 0.8717 0.4957  1 Si 2.52, 5 Mo 2.53-2.69, 1 Ho 2.82
Si: 0.6315 0.6283 0.5043  1 Si 2.52, 5 Mo 2.53-2.69, 1 Ho 2.82
Mo: 0.5000 0.0000 0.5000  6 Si 2.66-2.69
Mo: 0.0000 0.5000 0.5000  6 Si 2.66-2.69
Mo: 0.1626 0.2513 0.2491  6 Si 2.53-2.63
Mo: 0.6626 0.2487 0.7509  6 Si 2.53-2.63
Mo: 0.8374 0.7487 0.7509  6 Si 2.53-2.63
Mo: 0.3374 0.7513 0.2491  6 Si 2.53-2.63

Formation energy (no corrections) ... -0.688 eV per atom
Space-group type ... P2_1/c (14)
Crystal system ... monoclinic

=====

Record 7
Entry from the Alexandria database: HoSi2Mo2 after structural relaxation (PBE-GGA).

a b c (Å): 6.5419 6.5419 6.3581
angles (deg): 114.48 114.48 101.31
Last column: nearest neighbours and their distance in Å.
Positions (direct):
Ho: 0.8750 0.6250 0.7500  2 Si 2.85
Ho: 0.1250 0.3750 0.2500  2 Si 2.85
Si: 0.1564 0.3436 0.7500  4 Mo 2.40-2.54
Si: 0.4063 0.0937 0.2500  4 Mo 2.40-2.54
Si: 0.5937 0.9063 0.7500  4 Mo 2.40-2.54
Si: 0.8436 0.6564 0.2500  4 Mo 2.40-2.54
Mo: 0.2461 0.9959 0.4917  4 Si 2.40-2.54, 1 Mo 2.49
Mo: 0.4959 0.7461 0.9917  4 Si 2.40-2.54, 1 Mo 2.49
Mo: 0.7539 0.0041 0.5083  4 Si 2.40-2.54, 1 Mo 2.49
Mo: 0.5041 0.2539 0.0083  4 Si 2.40-2.54, 1 Mo 2.49

Formation energy (no corrections) ... -0.158 eV per atom
Space-group type ... C2/c (15)
Crystal system ... monoclinic

=====

Record 8
Entry from the Alexandria database: SmHoMo4 after structural relaxation (PBE-GGA).

a b c (Å): 5.5361 5.5361 5.5361
angles (deg): 60.00 60.00 60.00
Last column: nearest neighbours and their distance in Å.
Positions (direct):
Mo: 0.6248 0.6248 0.1255  6 Mo 2.76-2.77
Mo: 0.6248 0.1255 0.6248  6 Mo 2.76-2.77
Mo: 0.6248 0.6248 0.6248  6 Mo 2.76-2.77
Mo: 0.1255 0.6248 0.6248  6 Mo 2.76-2.77
Ho: 0.0000 0.0000 0.0000  12 Mo 3.25, 4 Sm 3.39
Sm: 0.2500 0.2500 0.2500  12 Mo 3.25, 4 Ho 3.39

Space-group type ... F-43m (216)
Formation energy ... 142 meV per atom
Crystal system ... cubic

=====

Record 9
Entry from the Alexandria database: SmHoMo after structural relaxation (PBE-GGA).

a b c (Å): 4.2976 5.8720 6.9992
angles (deg): 97.31 107.88 90.00
Last column: nearest neighbours and their distance in Å.
Positions (direct):
Mo: 0.7426 0.1062 0.4852  2 Mo 2.51
Mo: 0.2574 0.8938 0.5148  2 Mo 2.51
Sm: 0.5693 0.7728 0.1387  1 Mo 2.82
Sm: 0.4307 0.2272 0.8613  1 Mo 2.82
Ho: 0.8452 0.6430 0.6904  4 Mo 2.94-3.26
Ho: 0.1548 0.3570 0.3096  4 Mo 2.94-3.26

Space-group type ... C2/m (12)
Formation energy ... 249 meV per atom
Crystal system ... monoclinic

=====

Record 10
Entry from the Alexandria database: TbHoMo4 after structural relaxation (PBE-GGA).

a b c (Å): 5.5195 5.5195 5.5195
angles (deg): 60.00 60.00 60.00
Last column: nearest neighbours and their distance in Å.
Positions (direct):
Mo: 0.6250 0.6250 0.1251  6 Mo 2.76
Mo: 0.6250 0.1251 0.6250  6 Mo 2.76
Mo: 0.6250 0.6250 0.6250  6 Mo 2.76
Mo: 0.1251 0.6250 0.6250  6 Mo 2.76
Tb: 0.2500 0.2500 0.2500  12 Mo 3.24, 4 Ho 3.38
Ho: 0.0000 0.0000 0.0000  12 Mo 3.24, 4 Tb 3.38

Space-group type ... F-43m (216)
Formation energy ... 98 meV per atom
Crystal system ... cubic

=====

Record 11
Entry from the Alexandria database: Ho2Tc3Mo after structural relaxation (PBE-GGA).

a b c (Å): 5.4591 5.4591 5.3853
angles (deg): 90.06 120.46 119.93
Last column: nearest neighbours and their distance in Å.
Positions (direct):
Ho: 0.7505 0.3755 0.1260  9 Tc 3.15-3.18, 3 Mo 3.20, 4 Ho 3.27-3.34
Ho: 0.2495 0.6245 0.8740  9 Tc 3.15-3.18, 3 Mo 3.20, 4 Ho 3.27-3.34
Tc: 0.5000 0.5000 0.5000  2 Mo 2.69, 4 Tc 2.73
Tc: 0.0000 0.0000 0.5000  2 Mo 2.69, 4 Tc 2.73
Tc: 0.5000 0.0000 0.5000  2 Mo 2.69, 4 Tc 2.73
Mo: 0.0000 0.0000 0.0000  6 Tc 2.69

Space-group type ... R-3m (166)
Formation energy ... -132 meV per atom
Crystal system ... trigonal

=====

Record 12
Entry from the Alexandria database: Ho3Tc8Mo after structural relaxation (PBE-GGA).

a b c (Å): 5.3137 5.3137 9.2081
angles (deg): 73.23 73.23 60.00
Last column: nearest neighbours and their distance in Å.
Positions (direct):
Ho: 0.6256 0.6256 0.1232  12 Tc 3.11-3.18, 4 Ho 3.26-3.30
Ho: 0.0012 0.0012 0.9964  12 Tc 3.12-3.22, 1 Mo 3.21, 3 Ho 3.26
Ho: 0.4990 0.4990 0.5031  12 Tc 3.02-3.11, 3 Mo 3.25, 1 Ho 3.30
Tc: 0.5637 0.0688 0.8038  6 Tc 2.61-2.72
Tc: 0.0619 0.5554 0.3209  6 Tc 2.61-2.70
Tc: 0.5637 0.5637 0.8038  6 Tc 2.61-2.72
Tc: 0.0619 0.0619 0.3209  6 Tc 2.61-2.70
Tc: 0.8125 0.8125 0.5624  6 Tc 2.61
Tc: 0.3120 0.3120 0.0639  6 Tc 2.70-2.72
Tc: 0.0688 0.5637 0.8038  6 Tc 2.61-2.72
Tc: 0.5554 0.0619 0.3209  6 Tc 2.61-2.70
Mo: 0.1243 0.1243 0.6270  12 Tc 3.06-3.12, 4 Ho 3.21-3.25

Space-group type ... R3m (160)
Formation energy ... -28 meV per atom
Crystal system ... trigonal

=====

| no. | calculated total energy (eV per atom) |
| --- | --- |
| 1 | -9.002 |
| 2 | -7.023 |
| 3 | -7.033 |
| 4 | -6.839 |
| 5 | -8.574 |
| 6 | -7.726 |
| 7 | -7.575 |
| 8 | -8.628 |
| 9 | -6.461 |
| 10 | -8.657 |
| 11 | -8.647 |
| 12 | -8.985 |